BaEr4Mn3O12 | PBE with a Hubbard U | relaxed

Cell: 7.078 7.078 7.078 Å, 109.47 109.47 109.47°
Element x y z (fractional)
Ba 0.000 0.000 0.000
Er 0.000 0.000 0.500
Er 0.000 0.500 0.000
Er 0.500 0.000 0.000
Er 0.500 0.500 0.500
Mn 0.000 0.500 0.500
Mn 0.500 0.000 0.500
Mn 0.500 0.500 0.000
O 0.161 0.485 0.324
O 0.161 0.837 0.676
O 0.163 0.324 0.839
O 0.324 0.161 0.485
O 0.324 0.839 0.163
O 0.485 0.324 0.161
O 0.515 0.676 0.839
O 0.676 0.161 0.837
O 0.676 0.839 0.515
O 0.837 0.676 0.161
O 0.839 0.163 0.324
O 0.839 0.515 0.676

Summary:
crystal system	cubic
SG	No. 204
total DFT energy (no corrections)	-154.2	eV for the cell shown
V	13.6	A^3/atom
D(E_F)	17.32	states/eV/f.u.